{"formula": "Ca2MgBr", "functional": "PBE", "state": "relaxed", "raw_formation_energy_ev_per_atom": -0.35, "space_group": "Fm-3m (225)", "cell": [[5.502, 0.674, 1.261], [1.787, 4.811, 2.445], [1.697, -0.029, 5.426]], "species": ["Ca", "Ca", "Mg", "Br"], "fractional_positions": [[0.750, 0.750, 0.750], [0.250, 0.250, 0.250], [0.000, 0.000, 0.000], [0.500, 0.500, 0.500]]}

{"formula": "CaMgMnBr2", "functional": "PBE", "state": "relaxed", "raw_formation_energy_ev_per_atom": 0.01, "space_group": "P4/mmm (123)", "cell": [[5.071, 0.000, 0.000], [0.000, 7.450, 0.000], [0.000, 0.000, 5.071]], "species": ["Ca", "Mg", "Mn", "Br", "Br"], "fractional_positions": [[0.000, 0.500, 0.000], [0.000, 0.000, 0.000], [0.500, 0.500, 0.500], [0.000, 0.000, 0.500], [0.500, 0.000, 0.000]]}

{"formula": "CaMgBrO", "functional": "PBE", "state": "relaxed", "raw_formation_energy_ev_per_atom": -1.83, "space_group": "Cm (8)", "cell": [[7.847, 0.000, -0.001], [0.000, 3.766, 0.000], [-1.834, 0.000, 6.258]], "species": ["Br", "O", "Ca", "Mg", "O", "Br", "Ca", "Mg"], "fractional_positions": [[0.757, 0.500, 0.929], [0.368, 0.000, 0.630], [0.478, 0.000, 0.001], [0.112, 0.500, 0.044], [0.368, 0.500, 0.130], [0.757, 0.000, 0.429], [0.478, 0.500, 0.501], [0.112, 0.000, 0.544]]}

{"formula": "CaMgBrO", "functional": "PBE", "state": "relaxed", "raw_formation_energy_ev_per_atom": -1.84, "space_group": "Pm (6)", "cell": [[3.796, 0.000, 0.001], [0.000, 3.767, 0.000], [-0.030, 0.000, 6.396]], "species": ["Ca", "Br", "Mg", "O"], "fractional_positions": [[0.850, 0.000, 0.621], [0.351, 0.500, 0.895], [0.347, 0.500, 0.314], [0.348, 0.000, 0.424]]}

{"formula": "CaMgBrO", "functional": "PBE", "state": "relaxed", "raw_formation_energy_ev_per_atom": -1.68, "space_group": "Cm (8)", "cell": [[5.630, 0.000, 0.011], [0.000, 3.612, 0.000], [-4.184, 0.000, 12.002]], "species": ["O", "Br", "Mg", "Ca", "Ca", "Br", "Mg", "O"], "fractional_positions": [[0.418, 0.500, 0.600], [0.985, 0.000, 0.344], [0.072, 0.500, 0.517], [0.629, 0.000, 0.656], [0.629, 0.500, 0.156], [0.985, 0.500, 0.844], [0.072, 0.000, 0.017], [0.418, 0.000, 0.100]]}

{"formula": "CaMgBrO", "functional": "PBE", "state": "relaxed", "raw_formation_energy_ev_per_atom": -1.74, "space_group": "P1 (1)", "cell": [[-0.991, 2.761, -1.700], [-0.997, -0.483, -3.598], [-7.418, -1.658, 1.610]], "species": ["O", "Mg", "Br", "Ca"], "fractional_positions": [[0.808, 0.497, 0.464], [0.242, 0.632, 0.291], [0.218, 0.677, 0.875], [0.512, 0.089, 0.622]]}

{"formula": "CaMgBrO", "functional": "PBE", "state": "relaxed", "raw_formation_energy_ev_per_atom": -1.68, "space_group": "Cm (8)", "cell": [[-5.732, -0.702, -2.799], [-0.502, -2.742, 1.716], [-0.915, 6.134, 9.535]], "species": ["Mg", "Ca", "O", "Br", "Mg", "O", "Ca", "Br"], "fractional_positions": [[0.340, 0.000, 0.720], [0.570, 0.500, 0.487], [0.445, 0.500, 0.839], [0.898, 0.000, 0.668], [0.340, 0.500, 0.220], [0.445, 0.000, 0.339], [0.570, 0.000, 0.987], [0.898, 0.500, 0.168]]}

{"formula": "CaMgBrO", "functional": "PBE", "state": "relaxed", "raw_formation_energy_ev_per_atom": -1.83, "space_group": "Amm2 (38)", "cell": [[3.769, 0.000, 0.000], [0.000, 3.752, 0.000], [0.000, 0.000, 12.312]], "species": ["O", "Br", "Br", "Ca", "Mg", "Ca", "Mg", "O"], "fractional_positions": [[0.000, 0.000, 0.143], [0.500, 0.000, 0.414], [0.500, 0.500, 0.914], [0.000, 0.500, 0.247], [0.500, 0.500, 0.586], [0.000, 0.000, 0.747], [0.500, 0.000, 0.086], [0.000, 0.500, 0.643]]}

{"formula": "CaMgBrO", "functional": "PBE", "state": "relaxed", "raw_formation_energy_ev_per_atom": -1.66, "space_group": "Cm (8)", "cell": [[-3.722, -2.076, -2.644], [2.001, -0.380, -2.518], [5.244, -9.955, 5.670]], "species": ["Mg", "Br", "O", "Br", "Mg", "Ca", "Ca", "O"], "fractional_positions": [[0.463, 0.500, 0.128], [0.884, 0.000, 0.821], [0.469, 0.000, 0.028], [0.884, 0.500, 0.321], [0.463, 0.000, 0.628], [0.436, 0.500, 0.896], [0.436, 0.000, 0.396], [0.469, 0.500, 0.528]]}

{"formula": "CaMgBrO", "functional": "PBE", "state": "relaxed", "raw_formation_energy_ev_per_atom": -1.74, "space_group": "R3m (160)", "cell": [[3.591, 0.000, 0.000], [-1.795, 3.110, 0.000], [0.000, 0.000, 21.532]], "species": ["Mg", "Br", "Ca", "Mg", "O", "Mg", "O", "Br", "Ca", "Ca", "Br", "O"], "fractional_positions": [[0.333, 0.667, 0.409], [0.667, 0.333, 0.848], [0.333, 0.667, 0.617], [0.667, 0.333, 0.075], [0.333, 0.667, 0.720], [0.000, 0.000, 0.742], [0.667, 0.333, 0.386], [0.333, 0.667, 0.181], [0.667, 0.333, 0.284], [0.000, 0.000, 0.950], [0.000, 0.000, 0.515], [0.000, 0.000, 0.053]]}

{"formula": "Ca2MgBr2O2", "functional": "PBE", "state": "relaxed", "raw_formation_energy_ev_per_atom": -2.42, "space_group": "I4/mmm (139)", "cell": [[-1.967, -1.588, -3.078], [3.142, 0.670, -2.354], [2.733, -7.727, 4.818]], "species": ["Br", "Ca", "Mg", "O", "Br", "O", "Ca"], "fractional_positions": [[0.840, 0.840, 0.681], [0.583, 0.583, 0.166], [0.000, 0.000, 0.000], [0.000, 0.500, 0.000], [0.160, 0.160, 0.319], [0.500, 0.000, 0.000], [0.417, 0.417, 0.834]]}

{"formula": "CaMgBrO", "functional": "PBE", "state": "relaxed", "raw_formation_energy_ev_per_atom": -1.67, "space_group": "Cm (8)", "cell": [[-3.613, 1.243, 5.527], [2.122, -1.733, 1.777], [7.800, 6.752, -2.729]], "species": ["Mg", "Mg", "Ca", "Br", "O", "Br", "Ca", "O"], "fractional_positions": [[0.408, 0.500, 0.839], [0.408, 0.000, 0.339], [0.856, 0.000, 0.583], [0.998, 0.500, 0.845], [0.602, 0.500, 0.451], [0.998, 0.000, 0.345], [0.856, 0.500, 0.083], [0.602, 0.000, 0.951]]}